[1]
## Hf2TiBrO (PBE)

Data for crystalline Hf2TiBrO at its relaxed geometry.

Properties
As for the space-group type: P4/mmm (123). The total energy is -0.5542 Ry/atom. The uncorrected formation energy is -3.3 eV per formula unit. For the volume, the calculation gives 19.0 Å³/atom.

Structure (extended XYZ):
```
5
Lattice="-1.796 2.950 2.374 -4.842 -2.268 -0.844 0.535 -2.404 3.392" Properties=species:S:1:pos:R:3 pbc="T T T"
Br -2.421 -1.134 -0.422
Ti -3.052 -0.861 2.461
O 0.000 0.000 0.000
Hf -0.898 1.475 1.187
Hf 0.267 -1.202 1.696
```

***

[2]
## Be2BiP (PBE)

Data for crystalline Be2BiP at its relaxed geometry.

Properties
Its formation energy is 3.41 eV per formula unit. For the polymorph energy (0 for the lowest one), the calculation gives 2.674 eV per formula unit. As for the space-group type: Fm-3m (225). The total energy is -0.2451 Ry/atom. For the volume, the calculation gives 16.3 Å³/atom.

Structure (extended XYZ):
```
4
Lattice="0.000 3.198 3.198 3.198 0.000 3.198 3.198 3.198 0.000" Properties=species:S:1:pos:R:3 pbc="T T T"
Be 1.599 1.599 1.599
Be 4.796 4.796 4.796
Bi 3.198 3.198 3.198
P 0.000 0.000 0.000
```

***

[3]
## CaTa2Cr (PBE)

Data for crystalline CaTa2Cr at its relaxed geometry.

Properties
Its formation energy is 3.29 eV per formula unit. For the polymorph energy (0 for the lowest one), the calculation gives 1.398 eV per formula unit. As for the space-group type: Cmmm (65). The total energy is -0.5887 Ry/atom. For the volume, the calculation gives 19.6 Å³/atom.

Structure (extended XYZ):
```
4
Lattice="-1.422 -3.124 4.497 3.287 -2.115 -4.090 2.320 0.933 1.382" Properties=species:S:1:pos:R:3 pbc="T T T"
Ta 0.932 -2.619 0.203
Cr 2.803 -0.591 -1.354
Ca 0.449 -1.095 2.939
Ta 0.000 0.000 0.000
```

***

[4]
## Ho5Sb (PBE)

Data for crystalline Ho5Sb at its relaxed geometry.

Properties
As for the space-group type: Cmmm (65). The total energy is -0.3531 Ry/atom. The uncorrected formation energy is -1.8 eV per formula unit. For the volume, the calculation gives 28.5 Å³/atom.

Structure (extended XYZ):
```
6
Lattice="-4.544 -1.094 -1.284 1.448 -0.733 -4.502 0.543 -6.729 3.813" Properties=species:S:1:pos:R:3 pbc="T T T"
Sb 0.000 0.000 0.000
Ho 0.859 -4.810 1.059
Ho -1.548 -0.913 -2.893
Ho 1.132 -2.652 -1.748
Ho -0.706 -5.632 -1.853
Ho -1.848 -2.923 -0.119
```

***

[5]
## BaLa5In6 (PBE)

Data for crystalline BaLa5In6 at its relaxed geometry.

Properties
Its formation energy is -5.64 eV per formula unit. As for the space-group type: P2/m (10). The total energy is -0.2978 Ry/atom. For the volume, the calculation gives 31.8 Å³/atom.

Structure (extended XYZ):
```
12
Lattice="-4.698 -3.346 0.394 1.685 -3.176 -6.890 6.843 -4.388 3.697" Properties=species:S:1:pos:R:3 pbc="T T T"
In 3.138 -4.248 -3.790
In 2.318 -2.702 -0.437
La -0.624 -3.505 1.463
In 0.691 -6.662 0.991
Ba 0.000 0.000 0.000
La 4.453 -7.405 -4.263
La 0.842 -1.588 -3.445
La 0.249 -5.081 -1.979
La 3.580 -5.829 -0.820
In -1.111 -4.006 -4.865
In 1.511 -8.208 -2.362
In 4.941 -6.904 2.066
```

***

[6]
## LuGaRh2 (PBE)

Data for crystalline LuGaRh2 at its relaxed geometry.

Properties
Its formation energy is -3.42 eV per formula unit. As for the space-group type: P4/mmm (123). The total energy is -0.4717 Ry/atom. For the volume, the calculation gives 16.3 Å³/atom.

Structure (extended XYZ):
```
4
Lattice="-2.876 -1.262 0.801 -0.102 -1.567 -2.836 2.860 -4.873 2.590" Properties=species:S:1:pos:R:3 pbc="T T T"
Lu -0.059 -3.851 0.278
Rh 2.212 -3.769 2.003
Rh 0.648 -1.104 0.587
Ga -1.489 -1.414 -1.017
```

***

[7]
## Pr2BeZn (PBE)

Data for crystalline Pr2BeZn at its relaxed geometry.

Properties
Its formation energy is -0.17 eV per formula unit. For the polymorph energy (0 for the lowest one), the calculation gives 0.000 eV per formula unit. As for the space-group type: P4/mmm (123). The total energy is -0.2707 Ry/atom. For the volume, the calculation gives 24.0 Å³/atom.

Structure (extended XYZ):
```
4
Lattice="-3.028 -1.938 -0.415 1.655 -2.890 1.417 -2.208 2.018 6.697" Properties=species:S:1:pos:R:3 pbc="T T T"
Zn -1.791 -1.405 3.849
Be -0.687 -2.414 0.501
Pr -1.696 1.550 5.142
Pr -0.512 0.468 1.554
```

***

[8]
## TaCoPt2 (PBE)

Data for crystalline TaCoPt2 at its relaxed geometry.

Properties
Its formation energy is -2.27 eV per formula unit. For the polymorph energy (0 for the lowest one), the calculation gives 0.117 eV per formula unit. As for the space-group type: I4/mmm (139). The total energy is -0.6120 Ry/atom. For the volume, the calculation gives 14.8 Å³/atom.

Structure (extended XYZ):
```
4
Lattice="-3.623 0.706 3.088 1.259 -1.371 4.438 2.112 2.854 -3.248" Properties=species:S:1:pos:R:3 pbc="T T T"
Pt -1.182 -0.332 3.763
Ta -1.346 1.614 1.801
Co 1.095 0.576 2.476
Pt -2.364 -0.664 7.525
```

***

[9]
## YNiB4 (PBE)

Data for crystalline YNiB4 at its relaxed geometry.

Properties
Its formation energy is -3.16 eV per formula unit. For the polymorph energy (0 for the lowest one), the calculation gives 0.274 eV per formula unit. As for the space-group type: Cmmm (65). The total energy is -0.5159 Ry/atom. For the volume, the calculation gives 9.7 Å³/atom.

Structure (extended XYZ):
```
12
Lattice="-0.709 -3.204 -0.981 2.761 -2.081 4.799 -5.601 0.698 1.767" Properties=species:S:1:pos:R:3 pbc="T T T"
B -2.136 -2.469 3.628
B -2.286 -1.480 0.506
B 1.641 -3.428 4.030
B -3.857 -2.245 4.137
B 0.308 -2.342 1.447
Ni -2.339 -1.139 5.407
B -5.190 -1.158 1.553
Y 0.248 -1.245 3.887
B -1.413 -2.117 1.956
B -1.262 -3.107 5.078
Ni -0.501 -0.244 1.158
Y -3.088 -0.137 2.678
```

***

[10]
## NdSmHg2 (PBE)

Data for crystalline NdSmHg2 at its relaxed geometry.

Properties
Its formation energy is -1.89 eV per formula unit. For the polymorph energy (0 for the lowest one), the calculation gives 0.002 eV per formula unit. As for the space-group type: Fm-3m (225). The total energy is -0.2201 Ry/atom. For the volume, the calculation gives 27.8 Å³/atom.

Structure (extended XYZ):
```
4
Lattice="-5.115 1.505 -0.846 -3.229 -3.030 -3.088 -4.041 -2.789 2.244" Properties=species:S:1:pos:R:3 pbc="T T T"
Hg -9.289 -3.235 -1.267
Hg -3.096 -1.078 -0.422
Sm 0.000 0.000 0.000
Nd -6.192 -2.157 -0.845
```

***

What is the volume in the second record? 16.3 Å³/atom

***

Number 2 is which compound? Be2BiP

***

What is the volume in the ninth record? 9.7 Å³/atom

***

What did the eighth record say?
## TaCoPt2 (PBE)

Data for crystalline TaCoPt2 at its relaxed geometry.

Properties
Its formation energy is -2.27 eV per formula unit. For the polymorph energy (0 for the lowest one), the calculation gives 0.117 eV per formula unit. As for the space-group type: I4/mmm (139). The total energy is -0.6120 Ry/atom. For the volume, the calculation gives 14.8 Å³/atom.

Structure (extended XYZ):
```
4
Lattice="-3.623 0.706 3.088 1.259 -1.371 4.438 2.112 2.854 -3.248" Properties=species:S:1:pos:R:3 pbc="T T T"
Pt -1.182 -0.332 3.763
Ta -1.346 1.614 1.801
Co 1.095 0.576 2.476
Pt -2.364 -0.664 7.525
```